## P
Crystalline NdHoCo2 at its relaxed geometry, computed with PBE. Values from VASP.

Results
Calculated density: 9.033 Mg/m³
Space group: P4/mmm (123)

The structure in Quantum ESPRESSO input format:
```
&SYSTEM
  ibrav = 0, nat = 4, ntyp = 3
/
ATOMIC_SPECIES
Ho 164.93 Ho.upf
Co 58.93 Co.upf
Nd 144.24 Nd.upf
CELL_PARAMETERS angstrom
3.3990 0.0000 0.0000
0.0000 3.3990 0.0000
0.0000 0.0000 6.7948
ATOMIC_POSITIONS crystal
Ho 0.5000 0.5000 0.0000
Co 0.0000 0.0000 0.2372
Nd 0.5000 0.5000 0.5000
Co 0.0000 0.0000 0.7628
```

***

## Q
Crystalline NdHoCo2 at its relaxed geometry, computed with PBE. Values from VASP.

Results
Calculated density: 8.479 Mg/m³
Space group: Pmc2_1 (26)

The structure in Quantum ESPRESSO input format:
```
&SYSTEM
  ibrav = 0, nat = 8, ntyp = 3
/
ATOMIC_SPECIES
Co 58.93 Co.upf
Nd 144.24 Nd.upf
Ho 164.93 Ho.upf
CELL_PARAMETERS angstrom
-1.1788 3.6436 -0.6476
-2.9371 -0.0898 4.8414
6.0779 2.6305 3.7360
ATOMIC_POSITIONS crystal
Co 0.5000 0.8307 0.4747
Nd 0.0000 0.1315 0.6761
Co 0.5000 0.1693 0.9747
Ho 0.5000 0.3705 0.3193
Ho 0.5000 0.6295 0.8193
Co 0.0000 0.6381 0.5298
Co 0.0000 0.3619 0.0298
Nd 0.0000 0.8685 0.1761
```

***

Which structure is the least stable? The one labeled P.

***

## P
Crystalline NdHoCo at its relaxed geometry, computed with PBE. Values from VASP.

Results
Calculated density: 7.313 Mg/m³
Space group: P3m1 (156)

The structure in Quantum ESPRESSO input format:
```
&SYSTEM
  ibrav = 0, nat = 3, ntyp = 3
/
ATOMIC_SPECIES
Nd 144.24 Nd.upf
Co 58.93 Co.upf
Ho 164.93 Ho.upf
CELL_PARAMETERS angstrom
-5.8780 -0.9510 -1.7758
1.2157 -0.6062 -3.6995
-0.2675 -3.0286 2.5075
ATOMIC_POSITIONS crystal
Nd 0.7653 0.6667 0.3333
Co 0.0057 0.0000 0.0000
Ho 0.2290 0.3333 0.6667
```

***

## Q
Crystalline NdHoCo at its relaxed geometry, computed with PBE. Values from VASP.

Results
Calculated density: 8.217 Mg/m³
Space group: C2/m (12)

The structure in Quantum ESPRESSO input format:
```
&SYSTEM
  ibrav = 0, nat = 6, ntyp = 3
/
ATOMIC_SPECIES
Ho 164.93 Ho.upf
Nd 144.24 Nd.upf
Co 58.93 Co.upf
CELL_PARAMETERS angstrom
3.6623 0.0000 0.9486
1.8567 5.7465 0.3757
0.1128 -0.5676 7.1088
ATOMIC_POSITIONS crystal
Ho 0.7059 0.7147 0.8735
Nd 0.5804 0.2365 0.6027
Co 0.0184 0.1037 0.8594
Nd 0.4196 0.7635 0.3973
Co 0.9816 0.8963 0.1406
Ho 0.2941 0.2853 0.1265
```

***

Which structure is the least stable? The one labeled P.